## PaFeW (PBE)

Data for a geometry-optimized PaFeW structure.

Cell lengths 13.030, 11.825, 5.921 Å; angles 87.92, 65.08, 27.01 degrees
Atoms (fractional coordinates):
Pa1 0.021 0.729 0.021
Pa2 0.271 0.979 0.271
Pa3 0.729 0.021 0.729
Pa4 0.979 0.271 0.979
Fe1 0.318 0.318 0.432
Fe2 0.432 0.432 0.318
Fe3 0.568 0.568 0.682
Fe4 0.682 0.682 0.568
W1 0.009 0.009 0.741
W2 0.259 0.259 0.991
W3 0.741 0.741 0.009
W4 0.991 0.991 0.259

Output
total moment	0.000	μB/atom
DFT total energy	-9.802	eV/atom
crystal system	orthorhombic
ΔE_f	502	meV/atom
space-group type	No. 70

## Y2PaFe2 (PBE)

Data for a geometry-optimized Y2PaFe2 structure.

Cell lengths 5.923, 5.923, 6.900 Å; angles 96.86, 96.86, 62.05 degrees
Atoms (fractional coordinates):
Y1 0.043 0.260 0.146
Y2 0.260 0.043 0.646
Y3 0.740 0.957 0.354
Y4 0.957 0.740 0.854
Pa1 0.423 0.577 0.250
Pa2 0.577 0.423 0.750
Fe1 0.197 0.502 0.483
Fe2 0.498 0.803 0.017
Fe3 0.502 0.197 0.983
Fe4 0.803 0.498 0.517

Output
total moment	0.000	μB/atom
DFT total energy	-8.040	eV/atom
crystal system	monoclinic
ΔE_f	-170	meV/atom
space-group type	No. 15

## YPaFe2 (PBE)

Data for a geometry-optimized YPaFe2 structure.

Cell lengths 4.720, 4.720, 4.720 Å; angles 60.00, 60.00, 60.00 degrees
Atoms (fractional coordinates):
Y1 0.000 0.000 0.000
Pa1 0.500 0.500 0.500
Fe1 0.250 0.250 0.250
Fe2 0.750 0.750 0.750

Output
total moment	0.267	μB/atom
DFT total energy	-8.134	eV/atom
crystal system	cubic
ΔE_f	88	meV/atom
space-group type	No. 225

## YPaFe2 (PBE)

Data for a geometry-optimized YPaFe2 structure.

Cell lengths 3.306, 3.306, 6.797 Å; angles 90.00, 90.00, 90.00 degrees
Atoms (fractional coordinates):
Y1 0.000 0.000 0.000
Pa1 0.000 0.000 0.500
Fe1 0.500 0.500 0.298
Fe2 0.500 0.500 0.702

Output
total moment	0.220	μB/atom
DFT total energy	-8.283	eV/atom
crystal system	tetragonal
ΔE_f	-62	meV/atom
space-group type	No. 123

## YPaFe2 (PBE)

Data for a geometry-optimized YPaFe2 structure.

Cell lengths 5.645, 5.645, 5.645 Å; angles 43.69, 43.69, 43.69 degrees
Atoms (fractional coordinates):
Y1 0.000 0.000 0.000
Pa1 0.500 0.500 0.500
Fe1 0.200 0.200 0.200
Fe2 0.800 0.800 0.800

Output
total moment	0.000	μB/atom
DFT total energy	-8.415	eV/atom
crystal system	trigonal
ΔE_f	-194	meV/atom
space-group type	No. 166

## YPaFe2 (PBE)

Data for a geometry-optimized YPaFe2 structure.

Cell lengths 7.904, 3.917, 9.976 Å; angles 90.00, 90.00, 90.00 degrees
Atoms (fractional coordinates):
Y1 0.098 0.250 0.123
Y2 0.402 0.750 0.623
Y3 0.598 0.250 0.377
Y4 0.902 0.750 0.877
Pa1 0.061 0.250 0.627
Pa2 0.439 0.750 0.127
Pa3 0.561 0.250 0.873
Pa4 0.939 0.750 0.373
Fe1 0.192 0.250 0.817
Fe2 0.194 0.250 0.431
Fe3 0.306 0.750 0.931
Fe4 0.308 0.750 0.317
Fe5 0.692 0.250 0.683
Fe6 0.694 0.250 0.069
Fe7 0.806 0.750 0.569
Fe8 0.808 0.750 0.183

Output
total moment	0.000	μB/atom
DFT total energy	-8.353	eV/atom
crystal system	orthorhombic
ΔE_f	-131	meV/atom
space-group type	No. 62

## YPaFe (PBE)

Data for a geometry-optimized YPaFe structure.

Cell lengths 6.063, 6.063, 6.063 Å; angles 147.56, 147.56, 46.54 degrees
Atoms (fractional coordinates):
Y1 0.000 0.000 0.000
Pa1 0.292 0.292 0.000
Fe1 0.697 0.697 0.000

Output
total moment	0.000	μB/atom
DFT total energy	-8.174	eV/atom
crystal system	tetragonal
ΔE_f	-33	meV/atom
space-group type	No. 107

## YPa2Fe (PBE)

Data for a geometry-optimized YPa2Fe structure.

Cell lengths 8.990, 8.990, 8.990 Å; angles 23.04, 23.04, 23.04 degrees
Atoms (fractional coordinates):
Y1 0.000 0.000 0.000
Pa1 0.226 0.226 0.226
Pa2 0.774 0.774 0.774
Fe1 0.500 0.500 0.500

Output
total moment	0.000	μB/atom
DFT total energy	-8.432	eV/atom
crystal system	trigonal
ΔE_f	47	meV/atom
space-group type	No. 166

## YPaFe4 (PBE)

Data for a geometry-optimized YPaFe4 structure.

Cell lengths 5.112, 5.112, 5.112 Å; angles 60.00, 60.00, 60.00 degrees
Atoms (fractional coordinates):
Y1 0.000 0.000 0.000
Pa1 0.750 0.750 0.750
Fe1 0.376 0.376 0.376
Fe2 0.376 0.376 0.873
Fe3 0.376 0.873 0.376
Fe4 0.873 0.376 0.376

Output
total moment	1.013	μB/atom
DFT total energy	-8.376	eV/atom
crystal system	cubic
ΔE_f	-74	meV/atom
space-group type	No. 216

## YPaFe (PBE)

Data for a geometry-optimized YPaFe structure.

Cell lengths 4.053, 4.053, 5.065 Å; angles 90.00, 90.00, 120.00 degrees
Atoms (fractional coordinates):
Y1 0.000 0.000 0.000
Pa1 0.667 0.333 0.500
Fe1 0.333 0.667 0.500

Output
total moment	0.000	μB/atom
DFT total energy	-8.093	eV/atom
crystal system	hexagonal
ΔE_f	48	meV/atom
space-group type	No. 187

## YPa2Fe9 (PBE)

Data for a geometry-optimized YPa2Fe9 structure.

Cell lengths 8.684, 8.684, 8.684 Å; angles 33.52, 33.52, 33.52 degrees
Atoms (fractional coordinates):
Y1 0.000 0.000 0.000
Pa1 0.143 0.143 0.143
Pa2 0.857 0.857 0.857
Fe1 0.082 0.582 0.582
Fe2 0.333 0.333 0.333
Fe3 0.418 0.418 0.918
Fe4 0.418 0.918 0.418
Fe5 0.500 0.500 0.500
Fe6 0.582 0.082 0.582
Fe7 0.582 0.582 0.082
Fe8 0.667 0.667 0.667
Fe9 0.918 0.418 0.418

Output
total moment	1.287	μB/atom
DFT total energy	-8.591	eV/atom
crystal system	trigonal
ΔE_f	-123	meV/atom
space-group type	No. 166

## YPaFe (PBE)

Data for a geometry-optimized YPaFe structure.

Cell lengths 7.292, 6.644, 6.589 Å; angles 90.00, 115.98, 90.00 degrees
Atoms (fractional coordinates):
Y1 0.100 0.108 0.319
Y2 0.100 0.392 0.819
Y3 0.900 0.608 0.181
Y4 0.900 0.892 0.681
Pa1 0.449 0.740 0.213
Pa2 0.449 0.760 0.713
Pa3 0.551 0.240 0.287
Pa4 0.551 0.260 0.787
Fe1 0.316 0.023 0.832
Fe2 0.316 0.477 0.332
Fe3 0.684 0.523 0.668
Fe4 0.684 0.977 0.168

Output
total moment	0.000	μB/atom
DFT total energy	-8.252	eV/atom
crystal system	monoclinic
ΔE_f	-111	meV/atom
space-group type	No. 14